CuSi2Pt | GGA-PBEsol | relaxed

- density of states at the Fermi level (states/eV/f.u.) = 1.164
- spin magnetization (μB/atom) = 0.000
- space-group type = Cm
- total energy (eV/atom) = -5.897
- excess energy over the best structure of this formula in the dataset (eV per atom) = 0.000
- E_form (uncorrected) (meV per atom) = -199.5

Unit cell a=4.498 b=4.498 c=4.226 alpha=95.60 beta=95.60 gamma=39.76
Atoms (fractional coordinates):
Cu 0.000 0.000 0.000
Si 0.253 0.253 0.829
Si 0.487 0.487 0.516
Pt 0.753 0.753 0.315

Ti3BiI | GGA-PBEsol | relaxed

- density of states at the Fermi level (states/eV/f.u.) = 7.762
- spin magnetization (μB/atom) = 1.524
- space-group type = Pm-3m
- total energy (eV/atom) = -5.139
- E_form (uncorrected) (meV per atom) = 1065.2

Unit cell a=5.313 b=5.313 c=5.313 alpha=90.00 beta=90.00 gamma=90.00
Atoms (fractional coordinates):
Ti 0.000 0.000 0.500
Ti 0.000 0.500 0.000
Ti 0.500 0.000 0.000
Bi 0.000 0.000 0.000
I 0.500 0.500 0.500

TaCd2CoHg | GGA-PBEsol | relaxed

- density of states at the Fermi level (states/eV/f.u.) = 8.209
- spin magnetization (μB/atom) = 0.195
- space-group type = P4/mmm
- total energy (eV/atom) = -2.970

Unit cell a=4.970 b=4.970 c=4.683 alpha=90.00 beta=90.00 gamma=90.00
Atoms (fractional coordinates):
Ta 0.000 0.000 0.000
Cd 0.000 0.500 0.500
Cd 0.500 0.000 0.500
Co 0.500 0.500 0.000
Hg 0.500 0.500 0.500

Be2SiTc2 | GGA-PBEsol | relaxed

- density of states at the Fermi level (states/eV/f.u.) = 1.000
- spin magnetization (μB/atom) = 0.000
- space-group type = P4/mbm
- total energy (eV/atom) = -7.730
- E_form (uncorrected) (meV per atom) = -474.5

Unit cell a=5.805 b=5.805 c=3.135 alpha=90.00 beta=90.00 gamma=90.00
Atoms (fractional coordinates):
Be 0.121 0.379 0.000
Be 0.379 0.879 0.000
Be 0.621 0.121 0.000
Be 0.879 0.621 0.000
Si 0.000 0.000 0.000
Si 0.500 0.500 0.000
Tc 0.179 0.679 0.500
Tc 0.321 0.179 0.500
Tc 0.679 0.821 0.500
Tc 0.821 0.321 0.500